GGA+U K2LaNiF8, relaxed; crystal system = monoclinic; total energy = -58.90 eV for the cell shown; calculated volume = 16.31 A^3/atom; density of states at the Fermi level = 0.0 states/eV/f.u.; total magnetic moment = 3.088 μB/cell; theoretical density = 3.630 g/cm³
1.0
4.448 0.000 0.000
0.000 7.270 0.000
-0.562 0.000 6.052
K La Ni F
2 1 1 8
Direct
0.000 0.228 0.000
0.000 0.772 0.000
0.500 0.500 0.500
0.500 0.000 0.500
0.043 0.500 0.279
0.141 0.000 0.325
0.411 0.215 0.696
0.411 0.785 0.696
0.589 0.215 0.304
0.589 0.785 0.304
0.859 0.000 0.675
0.957 0.500 0.721